Density functional theory data (GGA-PBE) for a relaxed Pr5YIn5 crystal.

Energy relative to the elements   -2.8 eV/f.u.
Density of states at the Fermi level   11.846 states/eV per cell
Electronic total energy   -4.2576 eV per atom

Lattice parameters (Å, degrees): 5.869 9.549 7.089 111.66 90.00 107.90
Fractional positions:
Pr 0.689 0.378 0.190
Pr 0.638 0.277 0.640
Pr 0.000 0.000 0.500
Pr 0.362 0.723 0.360
Pr 0.311 0.622 0.810
Y 0.000 0.000 0.000
In 0.837 0.674 0.058
In 0.837 0.675 0.616
In 0.500 0.000 0.000
In 0.163 0.325 0.384
In 0.163 0.326 0.942